Below is crystalline SrAsI2 at its relaxed geometry, with properties calculated at the PBE level.

The total energy is -45.55 eV for the cell shown. The value obtained for the formation energy (no corrections) is -0.489 eV per atom. Its density is 4.9 Mg/m³.

Cell lengths 8.2874, 8.2874, 8.2874 Å; angles 90.00, 90.00, 90.00 degrees
Space group Fm-3m (No. 225)
Symmetry-distinct sites (fractional):
Sr (0.0000, 0.0000, 0.0000) x4
As (0.0000, 0.0000, 0.5000) x4
I (0.2500, 0.2500, 0.2500) x8

=====

Below is crystalline GaPd2Pt3 at its relaxed geometry, with properties calculated at the PBE level.

The total energy is -132.45 eV for the cell shown. Its density is 15.6 Mg/m³.

Cell lengths 4.8958, 8.4863, 9.0383 Å; angles 90.00, 100.47, 90.00 degrees
Space group C2/m (No. 12)
Symmetry-distinct sites (fractional):
Ga (0.0000, 0.1671, 0.0000) x4
Pd (0.0000, 0.0000, 0.5000) x2
Pd (0.0000, 0.3341, 0.5000) x4
Pd (0.0000, 0.5000, 0.0000) x2
Pt (0.2378, 0.0000, 0.2398) x4
Pt (0.2499, 0.1710, 0.7597) x8

=====

Below is crystalline NaIn2Hg3 at its relaxed geometry, with properties calculated at the PBE level.

The total energy is -16.71 eV for the cell shown. Its density is 9.2 Mg/m³.

Cell lengths 4.9822, 15.0257, 4.1112 Å; angles 90.00, 90.00, 90.00 degrees
Space group Pmmn (No. 59, origin choice 2)
Symmetry-distinct sites (fractional):
Na (0.2500, 0.2500, 0.0031) x2
In (0.2500, 0.5857, 0.9980) x4
Hg (0.2500, 0.0845, 0.5020) x4
Hg (0.2500, 0.7500, 0.4971) x2

=====

> Which of these has the highest density?

GaPd2Pt3